1.
Cd2HgHAu: optimized geometry, PBE-GGA.

Summary:
symmetry	P4/mmm
N(E_F)	1.360	states/eV/cell
total energy	-1.676	eV per atom
M_tot	0.0	μB per formula unit

Unit cell a=5.5485 b=5.5485 c=3.5319 alpha=90.00 beta=90.00 gamma=90.00
Element x y z (fractional)
1 H 0.0000 0.0000 0.5000
2 Au 0.0000 0.0000 0.0000
3 Hg 0.5000 0.5000 0.5000
4 Cd 0.0000 0.5000 0.0000
5 Cd 0.5000 0.0000 0.0000

2.
CdInH2Au: optimized geometry, PBE-GGA.

Summary:
symmetry	P4/mmm
N(E_F)	1.368	states/eV/cell
total energy	-2.399	eV per atom
M_tot	0.0	μB per formula unit

Unit cell a=3.9501 b=5.6391 c=3.9501 alpha=90.00 beta=90.00 gamma=90.00
Element x y z (fractional)
1 H 0.0000 0.0000 0.5000
2 H 0.5000 0.0000 0.0000
3 Cd 0.0000 0.5000 0.0000
4 Au 0.0000 0.0000 0.0000
5 In 0.5000 0.5000 0.5000

3.
Cd2H6IrAu: optimized geometry, PBE-GGA.

Summary:
symmetry	P1
total energy	-3.371	eV per atom
M_tot	0.0	μB per formula unit

Unit cell a=5.4572 b=5.6201 c=5.1104 alpha=106.09 beta=118.46 gamma=92.63
Element x y z (fractional)
1 Cd 0.5100 0.1696 0.0417
2 Cd 0.1804 0.5407 0.1162
3 H 0.9045 0.1121 0.3735
4 H 0.7552 0.7787 0.7980
5 H 0.1656 0.9024 0.8950
6 H 0.8592 0.1695 0.8586
7 H 0.2748 0.2772 0.4063
8 H 0.2261 0.9051 0.4082
9 Ir 0.0249 0.0256 0.1222
10 Au 0.5982 0.6228 0.9783

4.
K2CdHAu: optimized geometry, PBE-GGA.

Summary:
symmetry	P4/mmm
N(E_F)	1.234	states/eV/cell
energy relative to the lowest polymorph listed for this composition	2.7	kJ/mol of atoms
M_tot	0.0	μB per formula unit

Unit cell a=5.3306 b=5.3306 c=4.6134 alpha=90.00 beta=90.00 gamma=90.00
Element x y z (fractional)
1 H 0.0000 0.0000 0.0000
2 K 0.0000 0.5000 0.0000
3 K 0.5000 0.0000 0.0000
4 Au 0.5000 0.5000 0.5000
5 Cd 0.0000 0.0000 0.5000

5.
K2CdH6Au: optimized geometry, PBE-GGA.

Summary:
symmetry	C2/m
N(E_F)	2.003	states/eV/cell
total energy	-2.722	eV per atom
M_tot	0.0	μB per formula unit

Unit cell a=5.7242 b=5.7242 c=5.9881 alpha=61.45 beta=61.45 gamma=89.99
Element x y z (fractional)
1 K 0.7499 0.2501 0.5000
2 K 0.2501 0.7499 0.5000
3 Cd 0.0000 0.0000 0.0000
4 H 0.2067 0.2067 0.5851
5 H 0.7155 0.7155 0.0016
6 H 0.2838 0.7162 0.0000
7 H 0.7162 0.2838 0.0000
8 H 0.2845 0.2845 0.9984
9 H 0.7933 0.7933 0.4149
10 Au 0.5000 0.5000 0.0000

6.
K2CdHAu: optimized geometry, PBE-GGA.

Summary:
symmetry	P4/mmm
N(E_F)	1.754	states/eV/cell
energy relative to the lowest polymorph listed for this composition	0.0	kJ/mol of atoms
M_tot	0.0	μB per formula unit

Unit cell a=6.1041 b=6.1041 c=3.7223 alpha=90.00 beta=90.00 gamma=90.00
Element x y z (fractional)
1 H 0.0000 0.0000 0.0000
2 K 0.0000 0.5000 0.0000
3 K 0.5000 0.0000 0.0000
4 Au 0.0000 0.0000 0.5000
5 Cd 0.5000 0.5000 0.5000

7.
La2CdHAu: optimized geometry, PBE-GGA.

Summary:
symmetry	P4/mmm
N(E_F)	3.336	states/eV/cell
energy relative to the lowest polymorph listed for this composition	0.0	kJ/mol of atoms
M_tot	0.0	μB per formula unit

Unit cell a=5.0350 b=5.0350 c=4.4626 alpha=90.00 beta=90.00 gamma=90.00
Element x y z (fractional)
1 H 0.0000 0.0000 0.0000
2 Cd 0.0000 0.0000 0.5000
3 Au 0.5000 0.5000 0.5000
4 La 0.0000 0.5000 0.0000
5 La 0.5000 0.0000 0.0000

8.
LaCd2HAu: optimized geometry, PBE-GGA.

Summary:
symmetry	P4/mmm
N(E_F)	2.226	states/eV/cell
total energy	-2.958	eV per atom
M_tot	0.0	μB per formula unit

Unit cell a=4.6548 b=4.6548 c=4.7615 alpha=90.00 beta=90.00 gamma=90.00
Element x y z (fractional)
1 H 0.0000 0.0000 0.0000
2 Cd 0.0000 0.5000 0.0000
3 Cd 0.5000 0.0000 0.0000
4 Au 0.5000 0.5000 0.5000
5 La 0.0000 0.0000 0.5000

9.
La2CdHAu: optimized geometry, PBE-GGA.

Summary:
symmetry	P4/mmm
N(E_F)	4.499	states/eV/cell
energy relative to the lowest polymorph listed for this composition	0.5	kJ/mol of atoms
M_tot	0.4	μB per formula unit

Unit cell a=5.2606 b=5.2606 c=4.1698 alpha=90.00 beta=90.00 gamma=90.00
Each line ends with the local moment (μB).
Element x y z (fractional)
1 H 0.0000 0.0000 0.0000  0.00
2 Cd 0.5000 0.5000 0.5000  0.00
3 Au 0.0000 0.0000 0.5000  -0.01
4 La 0.0000 0.5000 0.0000  -0.09
5 La 0.5000 0.0000 0.0000  -0.09

10.
Li2CdHAu: optimized geometry, PBE-GGA.

Summary:
symmetry	P4/mmm
N(E_F)	0.664	states/eV/cell
energy relative to the lowest polymorph listed for this composition	2.4	kJ/mol of atoms
M_tot	0.0	μB per formula unit

Unit cell a=4.0768 b=4.0768 c=4.2470 alpha=90.00 beta=90.00 gamma=90.00
Element x y z (fractional)
1 H 0.0000 0.0000 0.0000
2 Li 0.0000 0.5000 0.0000
3 Li 0.5000 0.0000 0.0000
4 Au 0.5000 0.5000 0.5000
5 Cd 0.0000 0.0000 0.5000

11.
Li2CdHAu: optimized geometry, PBE-GGA.

Summary:
symmetry	P4/mmm
N(E_F)	0.790	states/eV/cell
energy relative to the lowest polymorph listed for this composition	0.0	kJ/mol of atoms
M_tot	0.0	μB per formula unit

Unit cell a=4.3510 b=4.3510 c=3.7146 alpha=90.00 beta=90.00 gamma=90.00
Element x y z (fractional)
1 H 0.0000 0.0000 0.0000
2 Li 0.0000 0.5000 0.0000
3 Li 0.5000 0.0000 0.0000
4 Au 0.0000 0.0000 0.5000
5 Cd 0.5000 0.5000 0.5000

12.
MgCdH2Au: optimized geometry, PBE-GGA.

Summary:
symmetry	P4/mmm
N(E_F)	0.899	states/eV/cell
total energy	-2.400	eV per atom
M_tot	0.0	μB per formula unit

Unit cell a=3.8408 b=3.8408 c=5.8306 alpha=90.00 beta=90.00 gamma=90.00
Element x y z (fractional)
1 H 0.0000 0.5000 0.0000
2 H 0.5000 0.0000 0.0000
3 Mg 0.0000 0.0000 0.0000
4 Au 0.0000 0.0000 0.5000
5 Cd 0.5000 0.5000 0.5000

13.
MnCdHAu2: optimized geometry, PBE-GGA.

Summary:
symmetry	P4/mmm
N(E_F)	1.623	states/eV/cell
total energy	-3.919	eV per atom
M_tot	3.5	μB per formula unit

Unit cell a=4.6883 b=4.6883 c=3.3932 alpha=90.00 beta=90.00 gamma=90.00
Each line ends with the local moment (μB).
Element x y z (fractional)
1 H 0.0000 0.0000 0.0000  -0.05
2 Mn 0.0000 0.0000 0.5000  3.51
3 Au 0.0000 0.5000 0.0000  -0.02
4 Au 0.5000 0.0000 0.0000  -0.02
5 Cd 0.5000 0.5000 0.5000  -0.02

14.
MnCdH2Au: optimized geometry, PBE-GGA.

Summary:
symmetry	P4/mmm
N(E_F)	2.445	states/eV/cell
total energy	-3.516	eV per atom
M_tot	4.2	μB per formula unit

Unit cell a=3.7695 b=5.3783 c=3.7695 alpha=90.00 beta=90.00 gamma=90.00
Each line ends with the local moment (μB).
Element x y z (fractional)
1 H 0.0000 0.0000 0.5000  0.01
2 H 0.5000 0.0000 0.0000  0.02
3 Mn 0.0000 0.5000 0.0000  3.86
4 Au 0.0000 0.0000 0.0000  0.04
5 Cd 0.5000 0.5000 0.5000  -0.01

15.
NaCd2HAu: optimized geometry, PBE-GGA.

Summary:
symmetry	P4/mmm
N(E_F)	1.680	states/eV/cell
total energy	-1.946	eV per atom
M_tot	0.0	μB per formula unit

Unit cell a=4.4891 b=4.4891 c=4.3407 alpha=90.00 beta=90.00 gamma=90.00
Element x y z (fractional)
1 Na 0.0000 0.0000 0.5000
2 Au 0.5000 0.5000 0.5000
3 H 0.0000 0.0000 0.0000
4 Cd 0.0000 0.5000 0.0000
5 Cd 0.5000 0.0000 0.0000

16.
Nb2CdHAu: optimized geometry, PBE-GGA.

Summary:
symmetry	P4/mmm
N(E_F)	3.032	states/eV/cell
energy relative to the lowest polymorph listed for this composition	0.0	kJ/mol of atoms
M_tot	0.0	μB per formula unit

Unit cell a=4.0417 b=4.0417 c=4.6598 alpha=90.00 beta=90.00 gamma=90.00
Element x y z (fractional)
1 H 0.0000 0.0000 0.0000
2 Nb 0.0000 0.5000 0.0000
3 Nb 0.5000 0.0000 0.0000
4 Au 0.5000 0.5000 0.5000
5 Cd 0.0000 0.0000 0.5000

17.
CdNi2HAu: optimized geometry, PBE-GGA.

Summary:
symmetry	P4/mmm
N(E_F)	2.062	states/eV/cell
energy relative to the lowest polymorph listed for this composition	3.5	kJ/mol of atoms
M_tot	0.0	μB per formula unit

Unit cell a=3.8587 b=3.8587 c=4.1706 alpha=90.00 beta=90.00 gamma=90.00
Element x y z (fractional)
1 Ni 0.0000 0.5000 0.0000
2 Ni 0.5000 0.0000 0.0000
3 Au 0.5000 0.5000 0.5000
4 H 0.0000 0.0000 0.0000
5 Cd 0.0000 0.0000 0.5000

18.
CdNi2HAu: optimized geometry, PBE-GGA.

Summary:
symmetry	P4/mmm
N(E_F)	0.817	states/eV/cell
energy relative to the lowest polymorph listed for this composition	0.0	kJ/mol of atoms
M_tot	0.0	μB per formula unit

Unit cell a=3.9580 b=3.9580 c=3.9442 alpha=90.00 beta=90.00 gamma=90.00
Element x y z (fractional)
1 Ni 0.0000 0.5000 0.0000
2 Ni 0.5000 0.0000 0.0000
3 Au 0.0000 0.0000 0.5000
4 H 0.0000 0.0000 0.0000
5 Cd 0.5000 0.5000 0.5000

19.
CdNiHAu2: optimized geometry, PBE-GGA.

Summary:
symmetry	P4/mmm
N(E_F)	2.133	states/eV/cell
total energy	-3.264	eV per atom
M_tot	0.0	μB per formula unit

Unit cell a=4.6609 b=4.6609 c=3.2589 alpha=90.00 beta=90.00 gamma=90.00
Element x y z (fractional)
1 Ni 0.0000 0.0000 0.5000
2 Au 0.0000 0.5000 0.0000
3 Au 0.5000 0.0000 0.0000
4 H 0.0000 0.0000 0.0000
5 Cd 0.5000 0.5000 0.5000

20.
CdPH2Au: optimized geometry, PBE-GGA.

Summary:
symmetry	P4/mmm
N(E_F)	1.169	states/eV/cell
total energy	-3.032	eV per atom
M_tot	0.0	μB per formula unit

Unit cell a=3.6930 b=5.3020 c=3.6930 alpha=90.00 beta=90.00 gamma=90.00
Element x y z (fractional)
1 P 0.0000 0.5000 0.0000
2 Au 0.0000 0.0000 0.0000
3 H 0.0000 0.0000 0.5000
4 H 0.5000 0.0000 0.0000
5 Cd 0.5000 0.5000 0.5000